Density functional theory data (meta-GGA SCAN) for a PBEsol-optimized structure of HgPPb2.

```
HgPPb2
1.0
7.302 0.000 0.000
0.000 7.302 0.000
0.000 0.000 7.302
Hg P Pb
4 4 8
Direct
0.000 0.000 0.000 Hg
0.000 0.500 0.500 Hg
0.500 0.000 0.500 Hg
0.500 0.500 0.000 Hg
0.250 0.250 0.250 P
0.250 0.750 0.750 P
0.750 0.250 0.750 P
0.750 0.750 0.250 P
0.000 0.000 0.500 Pb
0.000 0.500 0.000 Pb
0.250 0.250 0.750 Pb
0.250 0.750 0.250 Pb
0.500 0.000 0.000 Pb
0.500 0.500 0.500 Pb
0.750 0.250 0.250 Pb
0.750 0.750 0.750 Pb
```

Summary:
Space group ... No. 216
Total DFT energy (no corrections) ... -57.1244 eV/atom

=====

Density functional theory data (meta-GGA SCAN) for a PBEsol-optimized structure of LiCdCoF6.

```
LiCdCoF6
1.0
4.997 0.000 0.000
-2.498 4.327 0.000
0.000 0.000 9.474
Li Cd Co F
2 2 2 12
Direct
0.333 0.667 0.250 Li
0.667 0.333 0.750 Li
0.000 0.000 0.000 Cd
0.000 0.000 0.500 Cd
0.333 0.667 0.750 Co
0.667 0.333 0.250 Co
0.023 0.372 0.860 F
0.023 0.651 0.640 F
0.349 0.372 0.640 F
0.349 0.977 0.860 F
0.372 0.023 0.360 F
0.372 0.349 0.140 F
0.628 0.651 0.860 F
0.628 0.977 0.640 F
0.651 0.023 0.140 F
0.651 0.628 0.360 F
0.977 0.349 0.360 F
0.977 0.628 0.140 F
```

Summary:
Space group ... No. 163
ΔE_f (raw) ... -2.511 eV per atom

=====

Density functional theory data (meta-GGA SCAN) for a PBEsol-optimized structure of LiHg2Ru.

```
LiHg2Ru
1.0
4.558 0.000 0.000
0.000 4.558 0.000
0.000 0.000 3.159
Li Hg Ru
1 2 1
Direct
0.000 0.000 0.000 Li
0.000 0.500 0.500 Hg
0.500 0.000 0.500 Hg
0.500 0.500 0.000 Ru
```

Summary:
Space group ... No. 123
Total DFT energy (no corrections) ... -43.3592 eV/atom

=====

Density functional theory data (meta-GGA SCAN) for a PBEsol-optimized structure of CrAsPb2.

```
CrAsPb2
1.0
4.543 0.000 0.000
0.000 4.543 0.000
0.000 0.000 8.887
Cr As Pb
2 2 4
Direct
0.000 0.000 0.000 Cr
0.500 0.500 0.500 Cr
0.000 0.500 0.750 As
0.500 0.000 0.250 As
0.000 0.000 0.500 Pb
0.000 0.500 0.250 Pb
0.500 0.000 0.750 Pb
0.500 0.500 0.000 Pb
```

Summary:
Space group ... No. 119
Total DFT energy (no corrections) ... -47.2511 eV/atom

=====

Density functional theory data (meta-GGA SCAN) for a PBEsol-optimized structure of Li2PW.

```
Li2PW
1.0
3.281 0.000 0.000
0.000 3.934 0.000
0.000 0.000 8.642
Li P W
4 2 2
Direct
0.000 0.000 0.223 Li
0.000 0.000 0.777 Li
0.500 0.500 0.223 Li
0.500 0.500 0.777 Li
0.000 0.500 0.000 P
0.500 0.000 0.000 P
0.000 0.500 0.500 W
0.500 0.000 0.500 W
```

Summary:
Space group ... No. 65
Total DFT energy (no corrections) ... -21.1033 eV/atom

=====

Density functional theory data (meta-GGA SCAN) for a PBEsol-optimized structure of CsMgSe3.

```
CsMgSe3
1.0
5.629 0.000 0.000
0.000 5.629 0.000
0.000 0.000 5.629
Cs Mg Se
1 1 3
Direct
0.000 0.000 0.000 Cs
0.500 0.500 0.500 Mg
0.000 0.000 0.500 Se
0.000 0.500 0.000 Se
0.500 0.000 0.000 Se
```

Summary:
Space group ... No. 221
ΔE_f (raw) ... 0.883 eV per atom